Below is a relaxed structure of BeTcSnO6, with properties calculated at the PBE level.

Geometry as POSCAR:
```
BeTcSnO6
1.0
4.883 0.000 0.000
-2.442 4.229 0.000
0.000 0.000 9.004
Be Tc Sn O
2 2 2 12
direct
0.333 0.667 0.250
0.667 0.333 0.750
0.333 0.667 0.750
0.667 0.333 0.250
0.000 0.000 0.000
0.000 0.000 0.500
0.012 0.360 0.136
0.012 0.652 0.364
0.348 0.360 0.364
0.348 0.988 0.136
0.360 0.012 0.636
0.360 0.348 0.864
0.640 0.652 0.136
0.640 0.988 0.364
0.652 0.012 0.864
0.652 0.640 0.636
0.988 0.348 0.636
0.988 0.640 0.864
```

Output
The symmetry is No. 163. For the total energy, the calculation gives -6.8259 eV per atom.

---

Below is a relaxed structure of BeTl2SnO4, with properties calculated at the PBE level.

Geometry as POSCAR:
```
BeTl2SnO4
1.0
0.000 5.785 10.865
2.562 0.000 10.865
2.562 5.785 0.000
Be Tl Sn O
2 4 2 8
direct
0.125 0.125 0.125
0.875 0.875 0.875
0.188 0.188 0.562
0.438 0.438 0.812
0.562 0.562 0.188
0.812 0.812 0.438
0.375 0.375 0.375
0.625 0.625 0.625
0.029 0.793 0.537
0.142 0.537 0.793
0.207 0.971 0.858
0.463 0.858 0.971
0.537 0.142 0.029
0.793 0.029 0.142
0.858 0.463 0.207
0.971 0.207 0.463
```

Output
The symmetry is No. 70. For the total energy, the calculation gives -5.2494 eV per atom.

---

Below is a relaxed structure of UBeSnO6, with properties calculated at the PBE level.

Geometry as POSCAR:
```
UBeSnO6
1.0
5.022 0.000 0.000
-2.511 4.349 0.000
0.000 0.000 9.349
U Be Sn O
2 2 2 12
direct
0.000 0.000 0.000
0.000 0.000 0.500
0.333 0.667 0.250
0.667 0.333 0.750
0.333 0.667 0.750
0.667 0.333 0.250
0.028 0.354 0.133
0.028 0.674 0.367
0.326 0.354 0.367
0.326 0.972 0.133
0.354 0.028 0.633
0.354 0.326 0.867
0.646 0.674 0.133
0.646 0.972 0.367
0.674 0.028 0.867
0.674 0.646 0.633
0.972 0.326 0.633
0.972 0.646 0.867
```

Output
The symmetry is No. 163. For the total energy, the calculation gives -7.7233 eV per atom.

---

What did we get for uncorrected formation energy? Answer: -13.589; -9.701; -20.743 eV per formula unit, in the order shown.